1.
## PtW (PBE)

Data for a geometry-optimized PtW structure.

Cell: 6.3435 6.3435 6.3435 Å, 90.00 90.00 90.00°
Space group Fd-3m (No. 227, origin choice 2)
Symmetry-distinct sites (fractional):
Pt: 0.1250 0.1250 0.1250
W: 0.1250 0.1250 0.6250

Properties
V	15.95	A^3/atom
energy relative to the elements	15.7	kJ/mol of formula units
E	-0.346	hartree per atom
density of states at the Fermi level	1.5	states/eV/f.u.

***

2.
## PtW (PBE)

Data for a geometry-optimized PtW structure.

Cell: 10.4266 2.7555 6.7656 Å, 90.00 104.54 90.00°
Space group Cm (No. 8)
Symmetry-distinct sites (fractional):
Pt: 0.0000 0.0000 0.0000
Pt: 0.0561 0.0000 0.6160
Pt: 0.1803 0.5000 0.3418
W: 0.2214 0.5000 0.9519
W: 0.3355 0.0000 0.6678
W: 0.3993 0.0000 0.2821

Properties
V	15.68	A^3/atom
energy relative to the elements	-38.8	kJ/mol of formula units
E	-0.356	hartree per atom
density of states at the Fermi level	1.0	states/eV/f.u.

***

3.
## PtW4 (PBE)

Data for a geometry-optimized PtW4 structure.

Cell: 5.8479 5.8479 5.8479 Å, 90.00 90.00 90.00°
Space group Im-3m (No. 229)
Symmetry-distinct sites (fractional):
Pt: 0.0000 0.0000 0.0000
W: 0.2500 0.2500 0.2500

Properties
V	20.00	A^3/atom
energy relative to the elements	793.1	kJ/mol of formula units
E	-0.365	hartree per atom
density of states at the Fermi level	6.6	states/eV/f.u.
polymorph energy (0 for the lowest one)	1532	meV/atom

***

4.
## Pt3W (PBE)

Data for a geometry-optimized Pt3W structure.

Cell: 3.9155 3.9155 8.1097 Å, 90.00 90.00 90.00°
Space group I4/mmm (No. 139)
Symmetry-distinct sites (fractional):
Pt: 0.0000 0.0000 0.0000
Pt: 0.0000 0.5000 0.2500
W: 0.0000 0.0000 0.5000

Properties
V	15.54	A^3/atom
energy relative to the elements	-101.3	kJ/mol of formula units
E	-0.295	hartree per atom
density of states at the Fermi level	3.3	states/eV/f.u.

***

5.
## Pt4W (PBE)

Data for a geometry-optimized Pt4W structure.

Cell: 3.6081 3.6081 13.3313 Å, 90.00 90.00 90.00°
Space group I4/mmm (No. 139)
Symmetry-distinct sites (fractional):
Pt: 0.0000 0.0000 0.0963
Pt: 0.0000 0.5000 0.2500
W: 0.0000 0.0000 0.5000

Properties
V	17.36	A^3/atom
energy relative to the elements	200.1	kJ/mol of formula units
E	-0.258	hartree per atom
density of states at the Fermi level	5.1	states/eV/f.u.

***

6.
## Pt3W (PBE)

Data for a geometry-optimized Pt3W structure.

Cell: 2.7844 2.7844 8.0826 Å, 90.00 90.00 90.00°
Space group P4/mmm (No. 123)
Symmetry-distinct sites (fractional):
Pt: 0.0000 0.0000 0.0000
Pt: 0.5000 0.5000 0.2618
W: 0.0000 0.0000 0.5000

Properties
V	15.67	A^3/atom
energy relative to the elements	-94.9	kJ/mol of formula units
E	-0.295	hartree per atom
density of states at the Fermi level	4.1	states/eV/f.u.